No. 1
Material: RbHoFeTe3
Method: DFT, PBE
State: optimized geometry

It has space group Cmcm (No. 63), with a = 4.3536 Å, b = 16.3903 Å, c = 11.4336 Å, α = 90.00°, β = 90.00° and γ = 90.00°. The distinct sites, in fractional coordinates, are Rb at (0.0000, 0.2461, 0.2500), Ho at (0.0000, 0.5000, 0.0000), Fe at (0.0000, 0.0340, 0.7500), Te at (0.0000, 0.1247, 0.5617) and Te at (0.0000, 0.4360, 0.7500).

The energy above the most stable polymorph in this dataset comes out at 16 meV/atom.



No. 2
Material: HgN
Method: DFT, PBE
State: optimized geometry

It has space group Fm-3m (No. 225), with a = 4.8337 Å, b = 4.8337 Å, c = 4.8337 Å, α = 90.00°, β = 90.00° and γ = 90.00°. The distinct sites, in fractional coordinates, are Hg at (0.0000, 0.0000, 0.0000) and N at (0.0000, 0.0000, 0.5000).

The energy above the most stable polymorph in this dataset comes out at 55 meV/atom.



No. 3
Material: Al11W2
Method: DFT, PBE
State: optimized geometry

It has space group R-3m (No. 166, hexagonal axes), with a = 5.1867 Å, b = 5.1867 Å, c = 26.3822 Å, α = 90.00°, β = 90.00° and γ = 120.00°. The distinct sites, in fractional coordinates, are Al at (0.0000, 0.0000, 0.0000), Al at (0.0000, 0.0000, 0.1672), Al at (0.0000, 0.0000, 0.4534), Al at (0.0072, 0.5036, 0.4085) and W at (0.0000, 0.0000, 0.3540).

The energy above the most stable polymorph in this dataset comes out at 70 meV/atom.



No. 4
Material: NbCdPt
Method: DFT, PBE
State: optimized geometry

It has space group F-43m (No. 216), with a = 6.3296 Å, b = 6.3296 Å, c = 6.3296 Å, α = 90.00°, β = 90.00° and γ = 90.00°. The distinct sites, in fractional coordinates, are Nb at (0.0000, 0.0000, 0.0000), Cd at (0.2500, 0.2500, 0.7500) and Pt at (0.2500, 0.2500, 0.2500).

For the energy of formation from the pure elements, the calculation gives 0.311 eV/atom.



no.,DFT total energy (eV per atom)
1,-4.74
2,-2.72
3,-5.04
4,-5.37